Compound: TaMnB
Source: the Alexandria database
Functional: GGA-PBE
Structure: relaxed

Calculated values
**Energy of formation**: -50.4 kJ per mole of atoms
**Relative energy among the computed polymorphs**: 0.097 eV per atom

abc: 5.3311 5.3311 5.3311
angles: 146.00 125.49 65.82
Element x y z (fractional)
1 Ta 0.1991 0.1991 0.0000
2 Ta 0.8009 0.8009 0.0000
3 Mn 0.2556 0.5000 0.7556
4 Mn 0.7444 0.5000 0.2444
5 B 0.3984 0.8984 0.5000
6 B 0.6016 0.1016 0.5000

***

Compound: TaMn2B
Source: the Alexandria database
Functional: GGA-PBE
Structure: relaxed

Calculated values
**Energy of formation**: 10.3 kJ per mole of atoms

abc: 5.1550 5.1550 5.1550
angles: 101.32 101.32 127.40
Element x y z (fractional)
1 Ta 0.0000 0.0000 0.0000
2 Ta 0.7500 0.2500 0.5000
3 Mn 0.2201 0.6250 0.0951
4 Mn 0.3750 0.4701 0.5951
5 Mn 0.5299 0.1250 0.9049
6 Mn 0.8750 0.7799 0.4049
7 B 0.2500 0.7500 0.5000
8 B 0.5000 0.5000 0.0000

***

Compound: TaMnB3
Source: the Alexandria database
Functional: GGA-PBE
Structure: relaxed

Calculated values
**Energy of formation**: 181.5 kJ per mole of atoms

abc: 4.1670 4.1670 4.1670
angles: 90.00 90.00 90.00
Element x y z (fractional)
1 Ta 0.0000 0.0000 0.0000
2 Mn 0.5000 0.5000 0.5000
3 B 0.0000 0.0000 0.5000
4 B 0.0000 0.5000 0.0000
5 B 0.5000 0.0000 0.0000

***

Compound: TaMnB4
Source: the Alexandria database
Functional: GGA-PBE
Structure: relaxed

Calculated values
**Energy of formation**: -42.4 kJ per mole of atoms

abc: 5.7008 11.0774 3.1953
angles: 90.00 90.00 90.00
Element x y z (fractional)
1 Ta 0.1300 0.1518 0.0000
2 Ta 0.3700 0.6518 0.0000
3 Ta 0.6300 0.3482 0.0000
4 Ta 0.8700 0.8482 0.0000
5 Mn 0.1342 0.4096 0.0000
6 Mn 0.3658 0.9096 0.0000
7 Mn 0.6342 0.0904 0.0000
8 Mn 0.8658 0.5904 0.0000
9 B 0.0218 0.6948 0.5000
10 B 0.1165 0.5483 0.5000
11 B 0.1311 0.9674 0.5000
12 B 0.2078 0.8124 0.5000
13 B 0.2922 0.3124 0.5000
14 B 0.3689 0.4674 0.5000
15 B 0.3835 0.0483 0.5000
16 B 0.4782 0.1948 0.5000
17 B 0.5218 0.8052 0.5000
18 B 0.6165 0.9517 0.5000
19 B 0.6311 0.5326 0.5000
20 B 0.7078 0.6876 0.5000
21 B 0.7922 0.1876 0.5000
22 B 0.8689 0.0326 0.5000
23 B 0.8835 0.4517 0.5000
24 B 0.9782 0.3052 0.5000

***

Compound: TaMnB2
Source: the Alexandria database
Functional: GGA-PBE
Structure: relaxed

Calculated values
**Energy of formation**: 22.5 kJ per mole of atoms

abc: 7.5438 7.5438 7.5438
angles: 152.65 152.65 39.06
Element x y z (fractional)
1 Ta 0.3750 0.6250 0.7500
2 Ta 0.6250 0.3750 0.2500
3 Mn 0.1250 0.8750 0.2500
4 Mn 0.8750 0.1250 0.7500
5 B 0.0000 0.0000 0.0000
6 B 0.0000 0.0000 0.5000
7 B 0.0000 0.5000 0.0000
8 B 0.5000 0.0000 0.5000

***

Compound: TaMnB2
Source: the Alexandria database
Functional: GGA-PBE
Structure: relaxed

Calculated values
**Energy of formation**: -29.5 kJ per mole of atoms

abc: 5.0801 5.0801 5.0801
angles: 36.77 36.77 36.77
Element x y z (fractional)
1 Ta 0.0000 0.0000 0.0000
2 Mn 0.5000 0.5000 0.5000
3 B 0.2373 0.2373 0.2373
4 B 0.7627 0.7627 0.7627

***

Compound: TaMn4B2
Source: the Alexandria database
Functional: GGA-PBE
Structure: relaxed

Calculated values
**Energy of formation**: -28.3 kJ per mole of atoms

abc: 6.6202 6.6202 3.4031
angles: 90.00 90.00 150.81
Element x y z (fractional)
1 Ta 0.0000 0.0000 0.0000
2 Mn 0.1772 0.8228 0.5000
3 Mn 0.3226 0.6774 0.0000
4 Mn 0.6774 0.3226 0.0000
5 Mn 0.8228 0.1772 0.5000
6 B 0.4313 0.5687 0.5000
7 B 0.5687 0.4313 0.5000

***

Compound: TaMn3B
Source: the Alexandria database
Functional: GGA-PBE
Structure: relaxed

Calculated values
**Energy of formation**: 211.7 kJ per mole of atoms
**Relative energy among the computed polymorphs**: 2.286 eV per atom

abc: 4.6621 4.6621 4.6621
angles: 90.00 90.00 90.00
Element x y z (fractional)
1 Ta 0.0000 0.0000 0.0000
2 Mn 0.0000 0.0000 0.5000
3 Mn 0.0000 0.5000 0.0000
4 Mn 0.5000 0.0000 0.0000
5 B 0.5000 0.5000 0.5000